Record 1
A plane-wave DFT calculation with PBE-GGA was carried out for a geometry-optimized CsKSeS structure.

The structure in POSCAR format:
```
CsKSeS
1.0
5.313 0.000 0.000
-2.657 4.602 0.000
0.000 0.000 6.409
Cs K Se S
1 1 1 1
Cartesian
0.000 0.000 0.000
2.657 1.534 3.053
0.000 3.068 4.273
0.000 3.068 1.977
```

Values from the calculation:
Uncorrected formation energy in eV/atom: -0.94
Space group: P3m1
M_tot in μB per formula unit: 0.00

=====

Record 2
A plane-wave DFT calculation with PBE-GGA was carried out for a geometry-optimized Mg6GaSi structure.

The structure in POSCAR format:
```
Mg6GaSi
1.0
4.235 0.000 0.000
0.000 7.970 0.000
0.000 0.000 9.884
Mg Ga Si
12 2 2
Cartesian
0.000 0.000 0.000
0.000 1.601 2.712
0.000 2.385 7.655
0.000 3.985 4.942
0.000 5.586 7.655
0.000 6.370 2.712
2.117 0.000 7.692
2.117 1.708 5.036
2.117 2.277 0.094
2.117 3.985 2.750
2.117 5.694 0.094
2.117 6.262 5.036
0.000 0.000 5.749
0.000 3.985 0.807
2.117 0.000 1.826
2.117 3.985 6.768
```

Values from the calculation:
Uncorrected formation energy in eV/atom: -0.04
Space group: Amm2
M_tot in μB per formula unit: 0.00
Offset from the most stable computed form in meV/atom: 0

=====

Record 3
A plane-wave DFT calculation with PBE-GGA was carried out for a geometry-optimized Tc2AsOs structure.

The structure in POSCAR format:
```
Tc2AsOs
1.0
2.833 0.000 0.000
0.000 4.001 0.000
-1.407 0.000 5.176
Tc As Os
2 1 1
Cartesian
0.000 0.000 0.000
0.006 2.000 3.746
1.414 2.000 1.034
1.419 0.000 2.493
```

Values from the calculation:
Space group: Pm
ΔH_f (0 K) in kJ/mol of formula units: 39
M_tot in μB per formula unit: 0.00

=====

Record 4
A plane-wave DFT calculation with PBE-GGA was carried out for a geometry-optimized Nd2Dy7Ho structure.

The structure in POSCAR format:
```
Nd2Dy7Ho
1.0
6.176 0.000 0.000
-1.026 6.093 0.000
-3.083 -2.610 8.527
Nd Dy Ho
2 7 1
Cartesian
0.000 -0.518 1.714
2.067 4.000 6.813
-2.046 1.222 5.963
0.003 -1.563 5.108
1.037 2.795 0.858
3.088 0.000 0.000
1.030 0.688 7.669
2.065 5.046 3.419
4.113 2.261 2.564
1.034 1.741 4.264
```

Values from the calculation:
Space group: P-1
ΔH_f (0 K) in kJ/mol of formula units: 18
M_tot in μB per formula unit: 0.00
Offset from the most stable computed form in meV/atom: 0

=====

Record 5
A plane-wave DFT calculation with PBE-GGA was carried out for a geometry-optimized AcCd3In2 structure.

The structure in POSCAR format:
```
AcCd3In2
1.0
5.256 -4.704 0.000
5.256 4.704 0.000
0.000 0.000 6.672
Ac Cd In
2 6 4
Cartesian
5.256 3.164 5.004
5.256 -3.164 1.668
3.748 2.657 1.668
6.765 2.657 1.668
5.256 0.189 1.668
5.256 -0.189 5.004
3.748 -2.657 5.004
6.765 -2.657 5.004
2.797 0.000 0.000
2.797 0.000 3.336
7.716 0.000 0.000
7.716 0.000 3.336
```

Values from the calculation:
Space group: Cmcm
ΔH_f (0 K) in kJ/mol of formula units: -98
M_tot in μB per formula unit: 0.00
Offset from the most stable computed form in meV/atom: 73

=====

Record 6
A plane-wave DFT calculation with PBE-GGA was carried out for a geometry-optimized Ba2SmTe3 structure.

The structure in POSCAR format:
```
Ba2SmTe3
1.0
4.130 -7.151 0.000
4.130 7.151 0.000
-2.763 0.000 7.893
Ba Sm Te
4 2 6
Cartesian
0.000 0.000 0.000
2.748 4.855 3.947
2.748 0.000 3.947
2.748 -4.855 3.947
4.130 2.401 0.000
4.130 -2.401 0.000
1.455 2.516 1.812
0.147 0.000 6.127
1.455 -2.516 1.812
4.042 2.516 6.082
5.350 0.000 1.766
4.042 -2.516 6.082
```

Values from the calculation:
Uncorrected formation energy in eV/atom: -1.62
Space group: C2/m
M_tot in μB per formula unit: 0.00